DFT (PBE-GGA) results for crystalline DySi3Tc5 at its relaxed geometry. Values from VASP.

Cell and atoms, written as Quantum ESPRESSO input:
```
&SYSTEM
  ibrav = 0, nat = 18, ntyp = 3
/
ATOMIC_SPECIES
Tc 98.00 Tc.upf
Si 28.09 Si.upf
Dy 162.50 Dy.upf
ATOMIC_POSITIONS angstrom
Tc -4.658 -2.447 0.021
Tc -6.069 2.244 1.412
Tc -7.874 6.120 0.439
Tc -3.991 3.746 1.507
Tc -6.307 -0.898 0.644
Tc -9.436 5.404 2.683
Tc 0.000 0.000 0.000
Tc -6.224 4.572 -0.184
Tc -3.096 -1.731 -2.224
Tc -6.463 1.429 -0.952
Si -8.040 0.793 1.315
Si -10.841 3.422 2.372
Si -7.276 4.308 2.105
Si -5.256 -0.635 -1.646
Si -4.492 2.880 -0.855
Si -1.691 0.251 -1.913
Dy -9.257 3.101 -0.140
Dy -3.275 0.572 0.599
CELL_PARAMETERS angstrom
-0.564 1.040 -4.079
-3.985 -4.859 1.524
-7.983 7.492 3.014
```

Output
total magnetic moment: 0.00 Bohr magnetons per cell
DOS at the Fermi energy: 0.604 states/eV/atom
raw formation energy: -343 meV per atom
SG: Cmcm (63)

***

DFT (PBE-GGA) results for crystalline Ce2NdGa2Pd2 at its relaxed geometry. Values from VASP.

Cell and atoms, written as Quantum ESPRESSO input:
```
&SYSTEM
  ibrav = 0, nat = 7, ntyp = 4
/
ATOMIC_SPECIES
Ga 69.72 Ga.upf
Pd 106.42 Pd.upf
Ce 140.12 Ce.upf
Nd 144.24 Nd.upf
ATOMIC_POSITIONS angstrom
Ga -0.141 3.930 9.586
Ga -0.262 1.000 3.024
Pd -1.268 0.926 5.456
Pd 0.865 4.004 7.154
Ce 1.381 3.369 4.331
Ce -1.784 1.561 8.279
Nd 0.000 0.000 0.000
CELL_PARAMETERS angstrom
-3.445 0.863 2.765
-0.239 -2.042 4.003
3.280 6.109 5.842
```

Output
total magnetic moment: 0.00 Bohr magnetons per cell
DOS at the Fermi energy: 0.766 states/eV/atom
DFT formation energy: -679 meV per atom
SG: R-3m (166)

***

DFT (PBE-GGA) results for crystalline NdTm2Ge2Pt7 at its relaxed geometry. Values from VASP.

Cell and atoms, written as Quantum ESPRESSO input:
```
&SYSTEM
  ibrav = 0, nat = 12, ntyp = 4
/
ATOMIC_SPECIES
Pt 195.08 Pt.upf
Ge 72.64 Ge.upf
Tm 168.93 Tm.upf
Nd 144.24 Nd.upf
ATOMIC_POSITIONS angstrom
Pt -4.936 1.268 0.209
Pt -2.235 1.436 -1.168
Pt -4.707 2.466 4.272
Pt -6.696 4.924 9.154
Pt -6.925 3.727 5.092
Pt -3.469 3.716 0.412
Pt -8.162 2.477 8.951
Ge -3.620 1.988 2.179
Ge -8.011 4.204 7.185
Tm -6.451 3.683 2.193
Tm -5.180 2.509 7.171
Nd 0.000 0.000 0.000
CELL_PARAMETERS angstrom
-0.768 3.885 -0.965
-3.702 -1.013 -1.371
-7.162 3.321 11.699
```

Output
total magnetic moment: 0.00 Bohr magnetons per cell
DOS at the Fermi energy: 0.385 states/eV/atom
DFT formation energy: -910 meV per atom
SG: C2/m (12)

***

DFT (PBE-GGA) results for crystalline Ho2Be2AlRh5 at its relaxed geometry. Values from VASP.

Cell and atoms, written as Quantum ESPRESSO input:
```
&SYSTEM
  ibrav = 0, nat = 20, ntyp = 4
/
ATOMIC_SPECIES
Rh 102.91 Rh.upf
Ho 164.93 Ho.upf
Be 9.01 Be.upf
Al 26.98 Al.upf
ATOMIC_POSITIONS angstrom
Rh 1.591 5.460 6.843
Rh 1.591 8.996 2.024
Rh 1.591 4.819 0.000
Rh 1.591 0.000 4.819
Rh 1.591 0.641 7.614
Rh 1.591 4.177 2.795
Rh 1.591 7.614 8.996
Rh 1.591 2.795 5.460
Rh 1.591 2.024 0.641
Rh 1.591 6.843 4.177
Ho 0.000 1.700 3.119
Ho 0.000 6.519 1.700
Ho 0.000 7.938 6.519
Ho 0.000 3.119 7.938
Be 0.000 6.001 8.455
Be 0.000 1.182 6.001
Be 0.000 3.637 1.182
Be 0.000 8.455 3.637
Al 0.000 0.000 0.000
Al 0.000 4.819 4.819
CELL_PARAMETERS angstrom
3.181 0.000 0.000
0.000 9.638 0.000
0.000 0.000 9.638
```

Output
total magnetic moment: 0.00 Bohr magnetons per cell
DOS at the Fermi energy: 0.517 states/eV/atom
DFT formation energy: -877 meV per atom
SG: P4/mbm (127)

***

DFT (PBE-GGA) results for crystalline BaSrTlGa at its relaxed geometry. Values from VASP.

Cell and atoms, written as Quantum ESPRESSO input:
```
&SYSTEM
  ibrav = 0, nat = 4, ntyp = 4
/
ATOMIC_SPECIES
Ba 137.33 Ba.upf
Tl 204.38 Tl.upf
Ga 69.72 Ga.upf
Sr 87.62 Sr.upf
ATOMIC_POSITIONS angstrom
Ba 0.000 0.000 0.000
Tl 8.739 5.045 3.568
Ga 2.913 1.682 1.189
Sr 5.826 3.363 2.378
CELL_PARAMETERS angstrom
5.826 0.000 0.000
2.913 5.045 0.000
2.913 1.682 4.757
```

Output
total magnetic moment: 0.00 Bohr magnetons per cell
DOS at the Fermi energy: 0.815 states/eV/atom
DFT formation energy: -352 meV per atom
SG: F-43m (216)

***

DFT (PBE-GGA) results for crystalline EuThCd at its relaxed geometry. Values from VASP.

Cell and atoms, written as Quantum ESPRESSO input:
```
&SYSTEM
  ibrav = 0, nat = 3, ntyp = 3
/
ATOMIC_SPECIES
Cd 112.41 Cd.upf
Eu 151.96 Eu.upf
Th 232.04 Th.upf
ATOMIC_POSITIONS angstrom
Cd -2.537 1.759 1.626
Eu -0.004 0.155 0.070
Th -0.110 4.087 1.840
CELL_PARAMETERS angstrom
-3.240 0.633 -1.601
-1.719 -1.369 2.938
2.308 6.737 2.198
```

Output
total magnetic moment: 7.63 Bohr magnetons per cell
DOS at the Fermi energy: 1.412 states/eV/atom
offset from the most stable computed form: 0.0000 eV per atom
DFT formation energy: -22 meV per atom
SG: I4mm (107)

***

DFT (PBE-GGA) results for crystalline Sb2AsIr at its relaxed geometry. Values from VASP.

Cell and atoms, written as Quantum ESPRESSO input:
```
&SYSTEM
  ibrav = 0, nat = 4, ntyp = 3
/
ATOMIC_SPECIES
As 74.92 As.upf
Sb 121.76 Sb.upf
Ir 192.22 Ir.upf
ATOMIC_POSITIONS angstrom
As -6.789 -5.442 -6.869
Sb -0.209 -0.168 -0.212
Sb -3.601 -2.887 -3.644
Ir -10.814 -8.668 -10.942
CELL_PARAMETERS angstrom
-4.029 -2.651 -6.457
-3.800 -5.659 -4.301
-6.446 -3.133 -3.687
```

Output
total magnetic moment: 0.00 Bohr magnetons per cell
DOS at the Fermi energy: 0.523 states/eV/atom
offset from the most stable computed form: 0.0958 eV per atom
raw formation energy: 51 meV per atom
SG: R3m (160)

***

DFT (PBE-GGA) results for crystalline Y2HoCu6 at its relaxed geometry. Values from VASP.

Cell and atoms, written as Quantum ESPRESSO input:
```
&SYSTEM
  ibrav = 0, nat = 9, ntyp = 3
/
ATOMIC_SPECIES
Cu 63.55 Cu.upf
Ho 164.93 Ho.upf
Y 88.91 Y.upf
ATOMIC_POSITIONS angstrom
Cu 1.790 2.109 -1.217
Cu 1.790 2.109 1.217
Cu 1.790 4.231 2.443
Cu 1.790 6.339 -1.225
Cu 1.790 0.000 4.885
Cu 1.790 4.231 4.877
Ho 0.000 0.000 7.320
Y 3.579 4.226 0.000
Y 0.000 2.113 3.660
CELL_PARAMETERS angstrom
3.579 0.000 0.000
0.000 6.339 -3.660
0.000 0.000 7.320
```

Output
total magnetic moment: 0.00 Bohr magnetons per cell
DOS at the Fermi energy: 0.560 states/eV/atom
DFT formation energy: -256 meV per atom
SG: P6/mmm (191)

***

DFT (PBE-GGA) results for crystalline HgBi3B at its relaxed geometry. Values from VASP.

Cell and atoms, written as Quantum ESPRESSO input:
```
&SYSTEM
  ibrav = 0, nat = 5, ntyp = 3
/
ATOMIC_SPECIES
Bi 208.98 Bi.upf
B 10.81 B.upf
Hg 200.59 Hg.upf
ATOMIC_POSITIONS angstrom
Bi 1.014 0.694 2.258
Bi 2.284 -0.916 -0.745
Bi -0.603 -2.300 0.978
B 0.000 0.000 0.000
Hg 2.695 -2.522 2.491
CELL_PARAMETERS angstrom
-1.207 -4.599 1.955
4.568 -1.831 -1.489
2.029 1.388 4.516
```

Output
total magnetic moment: 0.00 Bohr magnetons per cell
DOS at the Fermi energy: 0.687 states/eV/atom
offset from the most stable computed form: 0.0000 eV per atom
DFT formation energy: 703 meV per atom
SG: Pm-3m (221)

***

DFT (PBE-GGA) results for crystalline Nb4GaFe at its relaxed geometry. Values from VASP.

Cell and atoms, written as Quantum ESPRESSO input:
```
&SYSTEM
  ibrav = 0, nat = 12, ntyp = 3
/
ATOMIC_SPECIES
Nb 92.91 Nb.upf
Fe 55.84 Fe.upf
Ga 69.72 Ga.upf
ATOMIC_POSITIONS angstrom
Nb 0.000 1.065 4.023
Nb 2.580 2.216 5.174
Nb 0.000 5.174 2.216
Nb 2.580 5.174 4.023
Nb 2.580 4.023 1.065
Nb 0.000 4.023 5.174
Nb 0.000 2.216 1.065
Nb 2.580 1.065 2.216
Fe 3.869 3.119 3.119
Fe 1.290 3.119 3.119
Ga 1.290 0.000 0.000
Ga 3.869 0.000 0.000
CELL_PARAMETERS angstrom
5.159 0.000 0.000
0.000 6.239 0.000
0.000 0.000 6.239
```

Output
total magnetic moment: 0.00 Bohr magnetons per cell
DOS at the Fermi energy: 1.095 states/eV/atom
DFT formation energy: -159 meV per atom
SG: P4/mcc (124)

***

DFT (PBE-GGA) results for crystalline GaNiAs2Br at its relaxed geometry. Values from VASP.

Cell and atoms, written as Quantum ESPRESSO input:
```
&SYSTEM
  ibrav = 0, nat = 5, ntyp = 4
/
ATOMIC_SPECIES
Ni 58.69 Ni.upf
As 74.92 As.upf
Ga 69.72 Ga.upf
Br 79.90 Br.upf
ATOMIC_POSITIONS angstrom
Ni 0.000 0.000 0.000
As -1.966 0.417 -0.881
As 0.804 -0.430 -1.996
Ga -2.253 -4.182 -2.418
Br -1.091 -4.169 0.459
CELL_PARAMETERS angstrom
-3.932 0.835 -1.763
1.607 -0.860 -3.992
-2.182 -8.338 0.919
```

Output
total magnetic moment: 0.00 Bohr magnetons per cell
DOS at the Fermi energy: 0.358 states/eV/atom
offset from the most stable computed form: 0.0000 eV per atom
raw formation energy: 194 meV per atom
SG: P4/mmm (123)

***

DFT (PBE-GGA) results for crystalline CrNi2Ru at its relaxed geometry. Values from VASP.

Cell and atoms, written as Quantum ESPRESSO input:
```
&SYSTEM
  ibrav = 0, nat = 4, ntyp = 3
/
ATOMIC_SPECIES
Ru 101.07 Ru.upf
Ni 58.69 Ni.upf
Cr 52.00 Cr.upf
ATOMIC_POSITIONS angstrom
Ru 2.886 2.886 2.886
Ni 4.329 4.329 4.329
Ni 1.443 1.443 1.443
Cr 0.000 0.000 0.000
CELL_PARAMETERS angstrom
0.000 2.886 2.886
2.886 0.000 2.886
2.886 2.886 0.000
```

Output
total magnetic moment: 0.03 Bohr magnetons per cell
DOS at the Fermi energy: 1.944 states/eV/atom
DFT formation energy: 307 meV per atom
SG: Fm-3m (225)